Cd2RhPb2: optimized geometry, PBE-GGA.

Values from the calculation:
Total magnetic moment = 0.00 μB per atom
ΔH_f (0 K) = 0.227 eV/atom
ΔE to the lowest computed polymorph = 1.465 eV/f.u.
Calculated total energy = -3.09 eV per atom

Unit cell a=7.098 b=7.098 c=4.922 alpha=90.00 beta=90.00 gamma=90.00
Sites, in units of the cell vectors:
Cd (0.145, 0.355, 0.000)
Cd (0.355, 0.855, 0.000)
Cd (0.645, 0.145, 0.000)
Cd (0.855, 0.645, 0.000)
Rh (0.000, 0.000, 0.000)
Rh (0.500, 0.500, 0.000)
Pb (0.178, 0.678, 0.500)
Pb (0.322, 0.178, 0.500)
Pb (0.678, 0.822, 0.500)
Pb (0.822, 0.322, 0.500)